# 1
VASP calculation (PBE) on SrMo2Os after structural relaxation.

Structure (extended XYZ):
```
4
Lattice="-4.382 -1.266 -1.015 1.517 -4.213 -1.338 1.042 1.620 4.258" Properties=species:S:1:pos:R:3 pbc="T T T"
Mo 0.563 -2.666 0.871
Mo 0.000 0.000 0.000
Os -1.433 -2.739 -1.177
Sr -2.387 -1.193 1.033
```

* energy of formation: 0.97 eV/atom
* E: -7.674 eV/atom
* DOS(E_F): 1.32 states/eV per atom
* energy relative to the lowest polymorph listed for this composition: 0.346 eV per atom

# 2
VASP calculation (PBE) on TlPtW after structural relaxation.

Structure (extended XYZ):
```
3
Lattice="-0.915 0.055 -2.836 1.310 -2.443 1.096 -6.404 -2.530 2.018" Properties=species:S:1:pos:R:3 pbc="T T T"
Tl -1.552 -2.448 0.454
Pt -6.269 -2.476 1.975
W -4.592 -2.523 -0.134
```

* energy of formation: 0.44 eV/atom
* E: -6.683 eV/atom
* DOS(E_F): 1.04 states/eV per atom
* energy relative to the lowest polymorph listed for this composition: 0.073 eV per atom

# 3
VASP calculation (PBE) on CeAlTc2H8 after structural relaxation.

Structure (extended XYZ):
```
12
Lattice="4.441 0.000 0.000 -2.220 3.846 0.000 0.000 0.000 7.097" Properties=species:S:1:pos:R:3 pbc="T T T"
H 1.345 3.340 5.501
H 2.220 2.835 1.597
H 2.220 1.282 2.826
H 3.565 0.505 1.597
Tc 2.220 1.282 1.115
H 0.000 2.564 4.271
Tc 0.000 2.564 5.982
H 0.000 1.010 5.501
Ce 0.000 0.000 3.549
H -1.345 3.340 5.501
H 0.875 0.505 1.597
Al 0.000 0.000 0.000
```

* E: -4.730 eV/atom
* DOS(E_F): 0.79 states/eV per atom

# 4
VASP calculation (PBE) on LiCrPt2 after structural relaxation.

Structure (extended XYZ):
```
4
Lattice="4.434 0.000 0.000 0.000 4.434 0.000 0.000 0.000 2.859" Properties=species:S:1:pos:R:3 pbc="T T T"
Pt 2.217 2.217 0.000
Pt 0.000 0.000 0.000
Cr 2.217 0.000 1.429
Li 0.000 2.217 1.429
```

* energy of formation: -0.36 eV/atom
* E: -6.269 eV/atom
* DOS(E_F): 0.63 states/eV per atom

# 5
VASP calculation (PBE) on TaAlAu2 after structural relaxation.

Structure (extended XYZ):
```
4
Lattice="-2.394 2.365 2.679 -1.871 0.571 -2.176 -3.738 -4.242 0.404" Properties=species:S:1:pos:R:3 pbc="T T T"
Au -5.360 -3.724 -1.503
Au -3.052 -1.782 -1.155
Ta -2.599 0.265 0.897
Al -5.403 -1.571 0.011
```

* energy of formation: -0.10 eV/atom
* E: -5.640 eV/atom
* DOS(E_F): 0.56 states/eV per atom